# AcEu2Tl | Alexandria | PBE | relaxed
data_AcEu2Tl
_chemical_formula_sum 'Ac1 Eu2 Tl1'
_cell_length_a 5.1322
_cell_length_b 5.1322
_cell_length_c 5.4533
_cell_angle_alpha 90.00
_cell_angle_beta 90.00
_cell_angle_gamma 90.00
_space_group_name_H-M_alt 'P 4/m m m'
_space_group_IT_number 123
_space_group_name_Hall '-P 4 2'
loop_
_atom_site_label
_atom_site_fract_x
_atom_site_fract_y
_atom_site_fract_z
_atom_site_occupancy
Ac1 0.0000 0.0000 0.0000 1
Eu1 0.0000 0.5000 0.5000 1
Tl1 0.5000 0.5000 0.0000 1
# - formation energy (eV per atom) = -0.16
# - E_tot (hartree per atom) = -0.2543
# - ΔE to the lowest computed polymorph (eV per atom) = 0.020

# MgZr6Sn | Alexandria | PBE | relaxed
data_MgZr6Sn
_chemical_formula_sum 'Mg1 Zr6 Sn1'
_cell_length_a 6.3237
_cell_length_b 6.3237
_cell_length_c 5.1872
_cell_angle_alpha 90.00
_cell_angle_beta 90.00
_cell_angle_gamma 120.00
_space_group_name_H-M_alt 'P -6 m 2'
_space_group_IT_number 187
_space_group_name_Hall 'P -6 2'
loop_
_atom_site_label
_atom_site_fract_x
_atom_site_fract_y
_atom_site_fract_z
_atom_site_occupancy
Mg1 0.0000 0.0000 0.0000 1
Zr1 0.1667 0.3334 0.5000 1
Zr2 0.5028 0.0056 0.0000 1
Sn1 0.6667 0.3333 0.5000 1
# - formation energy (eV per atom) = -0.19
# - E_tot (hartree per atom) = -0.2683

# La5Pr8Y | Alexandria | PBE | relaxed
data_La5Pr8Y
_chemical_formula_sum 'La10 Pr16 Y2'
_cell_length_a 9.9408
_cell_length_b 9.9408
_cell_length_c 10.3895
_cell_angle_alpha 90.00
_cell_angle_beta 90.00
_cell_angle_gamma 90.00
_space_group_name_H-M_alt 'I -4'
_space_group_IT_number 82
loop_
_space_group_symop_operation_xyz
'x,y,z'
'y,-x,-z'
'-x,-y,z'
'-y,x,-z'
'x+1/2,y+1/2,z+1/2'
'y+1/2,-x+1/2,-z+1/2'
'-x+1/2,-y+1/2,z+1/2'
'-y+1/2,x+1/2,-z+1/2'
loop_
_atom_site_label
_atom_site_fract_x
_atom_site_fract_y
_atom_site_fract_z
_atom_site_occupancy
La1 0.0000 0.0000 0.0000 1
La2 0.1070 0.7885 0.5771 1
Pr1 0.0711 0.6706 0.9032 1
Pr2 0.0776 0.8173 0.2435 1
Y1 0.0000 0.5000 0.2500 1
# - formation energy (eV per atom) = 0.21
# - E_tot (hartree per atom) = -0.1741

# LiCa4Be | Alexandria | PBE | relaxed
data_LiCa4Be
_chemical_formula_sum 'Li4 Ca16 Be4'
_cell_length_a 9.6424
_cell_length_b 9.6424
_cell_length_c 9.6424
_cell_angle_alpha 90.00
_cell_angle_beta 90.00
_cell_angle_gamma 90.00
_space_group_name_H-M_alt 'F -4 3 m'
_space_group_IT_number 216
_space_group_name_Hall 'F -4 2 3'
loop_
_atom_site_label
_atom_site_fract_x
_atom_site_fract_y
_atom_site_fract_z
_atom_site_occupancy
Li1 0.0000 0.0000 0.0000 1
Ca1 0.1245 0.1245 0.3755 1
Be1 0.2500 0.2500 0.7500 1
# - formation energy (eV per atom) = 0.72
# - E_tot (hartree per atom) = -0.0573

# CrTc2Ag | Alexandria | PBE | relaxed
data_CrTc2Ag
_chemical_formula_sum 'Cr2 Tc4 Ag2'
_cell_length_a 2.9240
_cell_length_b 4.4689
_cell_length_c 9.0864
_cell_angle_alpha 90.00
_cell_angle_beta 90.00
_cell_angle_gamma 90.00
_space_group_name_H-M_alt 'I m m m'
_space_group_IT_number 71
_space_group_name_Hall '-I 2 2'
loop_
_atom_site_label
_atom_site_fract_x
_atom_site_fract_y
_atom_site_fract_z
_atom_site_occupancy
Cr1 0.0000 0.0000 0.0000 1
Tc1 0.0000 0.5000 0.2830 1
Ag1 0.0000 0.0000 0.5000 1
# - formation energy (eV per atom) = 0.45
# - E_tot (hartree per atom) = -0.2884
# - ΔE to the lowest computed polymorph (eV per atom) = 0.149

# Ca2ReTc | Alexandria | PBE | relaxed
data_Ca2ReTc
_chemical_formula_sum 'Ca4 Re2 Tc2'
_cell_length_a 3.5515
_cell_length_b 4.3475
_cell_length_c 9.9897
_cell_angle_alpha 90.00
_cell_angle_beta 90.00
_cell_angle_gamma 90.00
_space_group_name_H-M_alt 'C m m m'
_space_group_IT_number 65
_space_group_name_Hall '-C 2 2'
loop_
_atom_site_label
_atom_site_fract_x
_atom_site_fract_y
_atom_site_fract_z
_atom_site_occupancy
Ca1 0.0000 0.0000 0.2488 1
Re1 0.0000 0.5000 0.5000 1
Tc1 0.0000 0.5000 0.0000 1
# - formation energy (eV per atom) = 0.79
# - E_tot (hartree per atom) = -0.2175
# - ΔE to the lowest computed polymorph (eV per atom) = 0.525

# Hf7AlGa5 | Alexandria | PBE | relaxed
data_Hf7AlGa5
_chemical_formula_sum 'Hf14 Al2 Ga10'
_cell_length_a 5.4233
_cell_length_b 9.8616
_cell_length_c 9.4818
_cell_angle_alpha 90.00
_cell_angle_beta 90.00
_cell_angle_gamma 90.00
_space_group_name_H-M_alt 'I m m 2'
_space_group_IT_number 44
loop_
_space_group_symop_operation_xyz
'x,y,z'
'-x,-y,z'
'-x,y,z'
'x,-y,z'
'x+1/2,y+1/2,z+1/2'
'-x+1/2,-y+1/2,z+1/2'
'-x+1/2,y+1/2,z+1/2'
'x+1/2,-y+1/2,z+1/2'
loop_
_atom_site_label
_atom_site_fract_x
_atom_site_fract_y
_atom_site_fract_z
_atom_site_occupancy
Hf1 0.0000 0.0000 0.0000 1
Hf2 0.0000 0.0000 0.3683 1
Hf3 0.0000 0.3312 0.5755 1
Hf4 0.0000 0.3419 0.0622 1
Hf5 0.0000 0.5000 0.3219 1
Al1 0.0000 0.0000 0.6719 1
Ga1 0.0000 0.5000 0.8140 1
Ga2 0.2476 0.2397 0.8222 1
# - formation energy (eV per atom) = -0.25
# - E_tot (hartree per atom) = -0.2597

# AlZnW | Alexandria | PBE | relaxed
data_AlZnW
_chemical_formula_sum 'Al2 Zn2 W2'
_cell_length_a 2.7811
_cell_length_b 3.6458
_cell_length_c 8.9466
_cell_angle_alpha 90.00
_cell_angle_beta 90.00
_cell_angle_gamma 90.00
_space_group_name_H-M_alt 'I m m 2'
_space_group_IT_number 44
loop_
_space_group_symop_operation_xyz
'x,y,z'
'-x,-y,z'
'-x,y,z'
'x,-y,z'
'x+1/2,y+1/2,z+1/2'
'-x+1/2,-y+1/2,z+1/2'
'-x+1/2,y+1/2,z+1/2'
'x+1/2,-y+1/2,z+1/2'
loop_
_atom_site_label
_atom_site_fract_x
_atom_site_fract_y
_atom_site_fract_z
_atom_site_occupancy
Al1 0.0000 0.0000 0.0000 1
Zn1 0.0000 0.0000 0.3379 1
W1 0.0000 0.0000 0.6671 1
# - formation energy (eV per atom) = 0.20
# - E_tot (hartree per atom) = -0.2128
# - ΔE to the lowest computed polymorph (eV per atom) = 0.077